(1)
The following is a DFT calculation (PBE) of crystalline VIrS4 at its relaxed geometry.

Cell and atoms, written as POSCAR:
```
VIrS4
1.0
5.7819 0.0000 0.0000
0.0000 5.7271 0.0000
-0.0664 0.0000 5.7391
V Ir S
2 2 8
direct
0.0000 0.0000 0.0000 V
0.0000 0.5000 0.5000 V
0.5000 0.0000 0.5000 Ir
0.5000 0.5000 0.0000 Ir
0.1252 0.1266 0.3756 S
0.1252 0.3734 0.8756 S
0.3736 0.6218 0.3747 S
0.3736 0.8782 0.8747 S
0.6264 0.1218 0.1253 S
0.6264 0.3782 0.6253 S
0.8748 0.6266 0.1244 S
0.8748 0.8734 0.6244 S
```

For the uncorrected formation energy, the calculation gives -0.496 eV/atom. The value obtained for the volume is 15.84 Å³/atom. For the total energy, the calculation gives -6.244 eV per atom.

=====

(2)
The following is a DFT calculation (PBE) of crystalline K4Mn at its relaxed geometry.

Cell and atoms, written as POSCAR:
```
K4Mn
1.0
-5.6119 5.6119 2.2481
5.6119 -5.6119 2.2481
5.6119 5.6119 -2.2481
K Mn
4 1
direct
0.0746 0.7383 0.8129 K
0.2617 0.0746 0.3364 K
0.7383 0.9254 0.6636 K
0.9254 0.2617 0.1871 K
0.5000 0.5000 0.0000 Mn
```

The value obtained for the energy of formation from the pure elements is 0.50 eV/atom. The value obtained for the volume is 56.64 Å³/atom. For the total energy, the calculation gives -2.215 eV per atom.